Record 1
Material: TlRh5
Method: DFT, PBE-GGA
State: relaxed

```
TlRh5
1.0
-3.722 2.313 -3.015
-4.975 -1.760 -0.660
-4.391 2.396 1.807
Rh Tl
5 1
direct
0.678 0.322 0.000
0.829 0.829 0.829
0.000 0.678 0.322
0.171 0.171 0.171
0.322 0.000 0.678
0.500 0.500 0.500
```

Results
Total magnetization ... 0.00 μB/f.u.
E_tot ... -6.352 eV per atom


Record 2
Material: TlRh
Method: DFT, PBE-GGA
State: relaxed

```
TlRh
1.0
1.594 -7.353 0.000
1.594 7.353 0.000
0.000 0.000 4.894
Rh Tl
3 3
direct
0.771 0.229 0.500
0.007 0.993 0.000
0.339 0.661 0.000
0.426 0.574 0.500
0.682 0.318 0.000
0.109 0.891 0.500
```

Results
Total magnetization ... 0.00 μB/f.u.
E_tot ... -4.527 eV per atom


Record 3
Material: Tl2Rh
Method: DFT, PBE-GGA
State: relaxed

```
Tl2Rh
1.0
7.184 0.000 0.000
0.000 3.787 0.000
0.000 0.000 9.843
Tl Rh
8 4
direct
0.824 0.750 0.454
0.506 0.750 0.691
0.494 0.250 0.309
0.994 0.250 0.191
0.176 0.250 0.546
0.676 0.250 0.954
0.324 0.750 0.046
0.006 0.750 0.809
0.209 0.750 0.328
0.791 0.250 0.672
0.291 0.250 0.828
0.709 0.750 0.172
```

Results
Total magnetization ... 0.00 μB/f.u.
E_tot ... -3.954 eV per atom


Record 4
Material: Tl3Rh
Method: DFT, PBE-GGA
State: relaxed

```
Tl3Rh
1.0
5.716 0.000 0.000
0.000 5.716 0.000
0.000 0.000 5.716
Tl Rh
6 2
direct
0.250 0.500 0.000
0.000 0.250 0.500
0.500 0.000 0.250
0.500 0.000 0.750
0.750 0.500 0.000
0.000 0.750 0.500
0.000 0.000 0.000
0.500 0.500 0.500
```

Results
Total magnetization ... 0.00 μB/f.u.
E_tot ... -3.290 eV per atom


Record 5
Material: Tl3Rh2
Method: DFT, PBE-GGA
State: relaxed

```
Tl3Rh2
1.0
-3.211 1.427 -4.312
-1.735 -3.377 -4.065
-5.236 -1.655 -0.888
Rh Tl
2 3
direct
0.693 0.693 0.693
0.307 0.307 0.307
0.900 0.900 0.900
0.500 0.500 0.500
0.100 0.100 0.100
```

Results
Total magnetization ... 0.19 μB/f.u.
E_tot ... -3.957 eV per atom


Record 6
Material: Tl3Rh
Method: DFT, PBE-GGA
State: relaxed

```
Tl3Rh
1.0
-4.206 1.752 -0.070
-1.729 -4.175 -0.592
-0.291 -0.520 4.518
Tl Rh
3 1
direct
0.000 0.500 0.500
0.500 0.500 0.000
0.500 0.000 0.500
0.000 0.000 0.000
```

Results
Total magnetization ... 0.00 μB/f.u.
E_tot ... -3.246 eV per atom


Record 7
Material: Tl3Rh
Method: DFT, PBE-GGA
State: relaxed

```
Tl3Rh
1.0
3.856 0.000 0.000
0.000 6.145 0.000
-1.928 -3.072 4.197
Tl Rh
3 1
direct
0.307 0.654 0.613
0.693 0.040 0.387
0.500 0.399 0.000
0.000 0.074 0.000
```

Results
Total magnetization ... 0.00 μB/f.u.
E_tot ... -3.498 eV per atom


Record 8
Material: Tl2Rh3
Method: DFT, PBE-GGA
State: relaxed

```
Tl2Rh3
1.0
6.915 -7.099 3.974
8.182 -3.517 5.889
-8.878 4.915 -3.318
Rh Tl
3 2
direct
0.000 0.000 0.000
0.422 0.422 0.000
0.578 0.578 0.000
0.821 0.821 0.000
0.179 0.179 0.000
```

Results
Total magnetization ... 0.00 μB/f.u.
E_tot ... -5.109 eV per atom


Record 9
Material: Tl2Rh
Method: DFT, PBE-GGA
State: relaxed

```
Tl2Rh
1.0
-3.200 0.169 0.801
1.721 -2.745 0.643
3.724 5.546 13.710
Rh Tl
2 4
direct
0.333 0.667 0.442
0.667 0.333 0.558
0.333 0.667 0.104
0.333 0.667 0.699
0.667 0.333 0.896
0.667 0.333 0.301
```

Results
Total magnetization ... 0.00 μB/f.u.
E_tot ... -3.746 eV per atom


Record 10
Material: TlRh
Method: DFT, PBE-GGA
State: relaxed

```
TlRh
1.0
-0.916 2.431 -1.878
-0.333 -3.022 -1.015
-8.458 -0.316 3.715
Rh Tl
2 2
direct
0.333 0.667 0.100
0.667 0.333 0.900
0.333 0.667 0.660
0.667 0.333 0.340
```

Results
Total magnetization ... 0.00 μB/f.u.
E_tot ... -4.476 eV per atom


Record 11
Material: TlRh
Method: DFT, PBE-GGA
State: relaxed

```
TlRh
1.0
-5.616 1.415 -3.836
-3.096 -4.014 3.052
-2.091 5.477 5.082
Rh Tl
8 8
direct
0.467 0.023 0.341
0.323 0.217 0.656
0.823 0.283 0.344
0.533 0.523 0.159
0.033 0.977 0.841
0.967 0.477 0.659
0.677 0.717 0.844
0.177 0.783 0.156
0.203 0.391 0.342
0.898 0.382 0.003
0.602 0.618 0.503
0.797 0.891 0.158
0.703 0.109 0.658
0.297 0.609 0.842
0.398 0.118 0.997
0.102 0.882 0.497
```

Results
Total magnetization ... 0.00 μB/f.u.
E_tot ... -4.646 eV per atom


Record 12
Material: TlRh
Method: DFT, PBE-GGA
State: relaxed

```
TlRh
1.0
-3.269 8.071 -4.995
-9.264 -1.563 3.538
0.637 1.777 2.454
Tl Rh
8 8
direct
0.676 0.633 0.500
0.633 0.324 0.500
0.133 0.824 0.000
0.367 0.676 0.500
0.176 0.133 0.000
0.324 0.367 0.500
0.824 0.867 0.000
0.867 0.176 0.000
0.838 0.461 0.000
0.039 0.338 0.500
0.961 0.662 0.500
0.461 0.162 0.000
0.338 0.961 0.500
0.662 0.039 0.500
0.539 0.838 0.000
0.162 0.539 0.000
```

Results
Total magnetization ... 0.00 μB/f.u.
E_tot ... -4.647 eV per atom


Record 13
Material: TlRh
Method: DFT, PBE-GGA
State: relaxed

```
TlRh
1.0
5.456 0.000 0.000
0.000 5.456 0.000
0.000 0.000 5.476
Tl Rh
4 4
direct
0.279 0.721 0.500
0.779 0.779 0.000
0.721 0.279 0.500
0.221 0.221 0.000
0.718 0.282 0.000
0.782 0.782 0.500
0.218 0.218 0.500
0.282 0.718 0.000
```

Results
Total magnetization ... 0.00 μB/f.u.
E_tot ... -4.577 eV per atom


Record 14
Material: TlRh
Method: DFT, PBE-GGA
State: relaxed

```
TlRh
1.0
-4.004 4.977 5.161
-3.648 -2.555 -6.900
-1.659 -3.642 2.225
Tl Rh
6 6
direct
0.618 0.815 0.750
0.382 0.185 0.250
0.185 0.803 0.750
0.815 0.197 0.250
0.803 0.618 0.250
0.197 0.382 0.750
0.422 0.534 0.250
0.578 0.466 0.750
0.112 0.578 0.250
0.466 0.888 0.250
0.534 0.112 0.750
0.888 0.422 0.750
```

Results
Total magnetization ... 0.00 μB/f.u.
E_tot ... -4.654 eV per atom


Record 15
Material: Tl2Rh
Method: DFT, PBE-GGA
State: relaxed

```
Tl2Rh
1.0
-2.478 -1.817 -0.845
-2.130 -3.846 8.513
-2.881 3.524 0.871
Tl Rh
4 2
direct
0.877 0.245 0.500
0.012 0.977 0.000
0.747 0.505 0.000
0.141 0.717 0.500
0.509 0.981 0.500
0.380 0.241 0.000
```

Results
Total magnetization ... 0.00 μB/f.u.
E_tot ... -3.961 eV per atom


Record 16
Material: Tl3Rh
Method: DFT, PBE-GGA
State: relaxed

```
Tl3Rh
1.0
7.540 0.000 0.000
0.000 8.465 0.000
0.000 0.000 6.128
Tl Rh
12 4
direct
0.025 0.250 0.871
0.822 0.562 0.642
0.678 0.062 0.142
0.822 0.938 0.642
0.178 0.438 0.358
0.525 0.250 0.629
0.322 0.562 0.858
0.475 0.750 0.371
0.178 0.062 0.358
0.322 0.938 0.858
0.678 0.438 0.142
0.975 0.750 0.129
0.139 0.750 0.538
0.639 0.750 0.962
0.861 0.250 0.462
0.361 0.250 0.038
```

Results
Total magnetization ... 0.00 μB/f.u.
E_tot ... -3.550 eV per atom


Record 17
Material: Tl3Rh
Method: DFT, PBE-GGA
State: relaxed

```
Tl3Rh
1.0
1.152 2.932 -1.261
-3.340 -0.544 0.249
0.044 3.945 9.216
Tl Rh
3 1
direct
0.667 0.333 0.202
0.000 0.000 0.500
0.667 0.333 0.798
0.000 0.000 0.000
```

Results
Total magnetization ... 0.00 μB/f.u.
E_tot ... -3.466 eV per atom


Record 18
Material: Tl3Rh
Method: DFT, PBE-GGA
State: relaxed

```
Tl3Rh
1.0
4.004 0.000 0.000
0.000 6.093 -0.188
0.000 2.480 4.757
Tl Rh
3 1
direct
0.000 0.000 0.500
0.500 0.341 0.829
0.500 0.659 0.171
0.000 0.000 0.000
```

Results
Total magnetization ... 0.00 μB/f.u.
E_tot ... -3.471 eV per atom


Record 19
Material: TlRh
Method: DFT, PBE-GGA
State: relaxed

```
TlRh
1.0
-7.586 -3.551 -0.608
3.140 -8.495 10.442
-2.149 3.933 3.846
Tl Rh
16 16
direct
0.322 0.000 0.000
0.322 0.500 0.500
0.572 0.250 0.750
0.928 0.750 0.250
0.178 0.000 0.500
0.678 0.500 0.500
0.428 0.250 0.250
0.822 0.500 0.000
0.572 0.750 0.250
0.678 0.000 0.000
0.928 0.250 0.750
0.178 0.500 0.000
0.072 0.250 0.250
0.428 0.750 0.750
0.822 0.000 0.500
0.072 0.750 0.750
0.750 0.660 0.750
0.750 0.340 0.250
0.500 0.090 0.500
0.000 0.590 0.500
0.500 0.410 0.000
0.500 0.590 0.000
0.000 0.090 0.000
0.000 0.410 0.500
0.250 0.840 0.250
0.250 0.660 0.250
0.750 0.160 0.250
0.750 0.840 0.750
0.500 0.910 0.500
0.250 0.160 0.750
0.000 0.910 0.000
0.250 0.340 0.750
```

Results
Total magnetization ... 0.00 μB/f.u.
E_tot ... -4.540 eV per atom


Record 20
Material: TmTlRh
Method: DFT, PBE-GGA
State: relaxed

```
TmTlRh
1.0
-0.823 -4.302 -1.599
1.729 -1.325 -4.123
3.460 -3.121 -0.183
Tm Rh Tl
1 1 1
direct
0.000 0.000 0.000
0.250 0.250 0.250
0.500 0.500 0.500
```

Results
Total magnetization ... 0.00 μB/f.u.
E_tot ... -5.197 eV per atom


Record 21
Material: Tm3TlRh2
Method: DFT, PBE-GGA
State: relaxed

```
Tm3TlRh2
1.0
-1.800 0.685 -2.730
-2.808 -0.652 1.688
-0.659 11.312 3.273
Tm Tl Rh
3 1 2
direct
0.000 0.000 0.709
0.000 0.000 0.291
0.000 0.000 0.000
0.500 0.500 0.500
0.500 0.500 0.850
0.500 0.500 0.150
```

Results
Total magnetization ... 0.00 μB/f.u.
E_tot ... -5.828 eV per atom


Record 22
Material: Tm4TlRh5
Method: DFT, PBE-GGA
State: relaxed

```
Tm4TlRh5
1.0
-1.811 2.838 0.506
-0.110 -0.665 3.337
13.854 8.459 2.143
Tm Tl Rh
4 1 5
direct
0.000 0.000 0.805
0.000 0.000 0.195
0.000 0.000 0.601
0.000 0.000 0.399
0.000 0.000 0.000
0.500 0.500 0.098
0.500 0.500 0.298
0.500 0.500 0.500
0.500 0.500 0.902
0.500 0.500 0.702
```

Results
Total magnetization ... 0.00 μB/f.u.
E_tot ... -6.479 eV per atom


Record 23
Material: Tm12TlRh6
Method: DFT, PBE-GGA
State: relaxed

```
Tm12TlRh6
1.0
7.955 0.000 -2.813
-3.978 6.889 -2.813
0.000 0.000 8.438
Tm Rh Tl
12 6 1
direct
0.701 0.511 0.810
0.489 0.190 0.299
0.190 0.701 0.891
0.891 0.190 0.701
0.810 0.299 0.109
0.109 0.810 0.299
0.511 0.810 0.701
0.810 0.701 0.511
0.190 0.299 0.489
0.299 0.109 0.810
0.701 0.891 0.190
0.299 0.489 0.190
0.500 0.869 0.369
0.631 0.500 0.131
0.500 0.131 0.631
0.369 0.500 0.869
0.131 0.631 0.500
0.869 0.369 0.500
0.000 0.000 0.000
```

Results
Total magnetization ... 0.00 μB/f.u.
E_tot ... -5.893 eV per atom